Compound: Y5Ge2C
Source: Alexandria via LeMat-Bulk
Functional: GGA-PBE
Structure: relaxed

a b c (Å): 5.5891 6.6699 13.0780
angles (deg): 90.00 90.00 114.77
Element x y z (fractional)
Y: 0.7026 0.4053 0.2500
Y: 0.3374 0.6748 0.3932
Y: 0.9437 0.8875 0.6242
Y: 0.2974 0.5947 0.7500
Y: 0.0563 0.1125 0.1242
Y: 0.9437 0.8875 0.8758
Y: 0.3374 0.6748 0.1068
Y: 0.6626 0.3252 0.8932
Y: 0.0563 0.1125 0.3758
Y: 0.6626 0.3252 0.6068
Ge: 0.8267 0.6534 0.4332
Ge: 0.8267 0.6534 0.0668
Ge: 0.1733 0.3466 0.9332
Ge: 0.1733 0.3466 0.5668
C: 0.2013 0.4025 0.2500
C: 0.7987 0.5975 0.7500

Output
**D(E_F)**: 5.01 states/eV/f.u.
**Energy of formation**: -0.34 eV per atom
**Calculated density**: 4.51 Mg/m³
**M_tot**: 1.10 μB/cell